# 1
The following is a DFT calculation (GGA-PBE) of a relaxed structure of FeCoCu.

```
FeCoCu
1.0
3.171 -0.496 2.418
1.154 2.994 2.418
5.621 3.247 13.236
Co Fe Cu
2 2 2
direct
0.721 0.721 0.065
0.032 0.032 0.243
0.406 0.406 0.389
0.348 0.348 0.918
0.038 0.038 0.740
0.715 0.715 0.568
```

Results
The offset from the most stable computed form is 0.042 eV/atom. Its total magnetic moment is 4.36 μB/f.u. As for the energy of formation: 0.12 eV per atom. As for the density of states at the Fermi level: 3.81 states/eV per cell.

# 2
The following is a DFT calculation (GGA-PBE) of a relaxed structure of FeCoCu2.

```
FeCoCu2
1.0
-8.446 -1.351 0.089
-7.737 -3.347 1.449
-8.082 -1.119 2.569
Co Cu Fe
1 2 1
direct
0.751 0.751 0.751
0.250 0.250 0.250
0.001 0.001 0.001
0.498 0.498 0.498
```

Results
The offset from the most stable computed form is 0.000 eV/atom. Its total magnetic moment is 3.83 μB/f.u. As for the energy of formation: 0.09 eV per atom. As for the density of states at the Fermi level: 3.35 states/eV per cell.

# 3
The following is a DFT calculation (GGA-PBE) of a relaxed structure of FeCoCu2.

```
FeCoCu2
1.0
-1.668 1.953 3.128
0.376 -1.485 3.747
2.356 1.886 2.698
Cu Fe Co
2 1 1
direct
0.000 0.000 0.000
0.250 0.250 0.250
0.750 0.750 0.750
0.500 0.500 0.500
```

Results
The offset from the most stable computed form is 0.053 eV/atom. Its total magnetic moment is 4.45 μB/f.u. As for the energy of formation: 0.14 eV per atom. As for the density of states at the Fermi level: 1.86 states/eV per cell.

# 4
The following is a DFT calculation (GGA-PBE) of a relaxed structure of FeCoCu4.

```
FeCoCu4
1.0
3.535 -2.738 1.467
-0.211 -4.658 -0.637
2.826 -2.077 -3.138
Cu Fe Co
4 1 1
direct
0.625 0.125 0.625
0.625 0.625 0.625
0.125 0.625 0.625
0.625 0.625 0.125
0.250 0.250 0.250
0.000 0.000 0.000
```

Results
Its total magnetic moment is 4.27 μB/f.u. As for the energy of formation: 0.29 eV per atom. As for the density of states at the Fermi level: 5.67 states/eV per cell.

# 5
The following is a DFT calculation (GGA-PBE) of a relaxed structure of FeCoCu2.

```
FeCoCu2
1.0
-1.686 -1.885 0.022
0.192 -0.130 3.574
-3.824 3.426 0.330
Cu Co Fe
2 1 1
direct
0.500 0.500 0.246
0.000 0.000 0.002
0.500 0.500 0.742
0.000 0.000 0.510
```

Results
The offset from the most stable computed form is 0.019 eV/atom. Its total magnetic moment is 4.21 μB/f.u. As for the energy of formation: 0.10 eV per atom. As for the density of states at the Fermi level: 3.91 states/eV per cell.

# 6
The following is a DFT calculation (GGA-PBE) of a relaxed structure of FeCoCu2.

```
FeCoCu2
1.0
2.491 0.000 0.000
0.000 2.491 0.000
0.000 0.000 7.539
Co Fe Cu
1 1 2
direct
0.500 0.500 0.750
0.500 0.500 0.250
0.000 0.000 0.997
0.000 0.000 0.503
```

Results
The offset from the most stable computed form is 0.072 eV/atom. Its total magnetic moment is 4.33 μB/f.u. As for the energy of formation: 0.16 eV per atom. As for the density of states at the Fermi level: 4.25 states/eV per cell.

# 7
The following is a DFT calculation (GGA-PBE) of a relaxed structure of FeCoCu2.

```
FeCoCu2
1.0
4.552 0.018 0.000
1.853 4.158 0.000
-3.202 -2.088 2.471
Cu Fe Co
2 1 1
direct
0.000 0.000 0.000
0.500 0.500 0.000
0.250 0.750 0.500
0.750 0.250 0.500
```

Results
The offset from the most stable computed form is 0.038 eV/atom. Its total magnetic moment is 4.30 μB/f.u. As for the energy of formation: 0.12 eV per atom. As for the density of states at the Fermi level: 3.76 states/eV per cell.

# 8
The following is a DFT calculation (GGA-PBE) of a relaxed structure of FeCoCu.

```
FeCoCu
1.0
5.790 0.122 0.000
4.625 3.485 0.000
-5.207 -1.804 1.779
Cu Fe Co
1 1 1
direct
0.335 0.335 0.000
0.663 0.663 0.000
0.002 0.002 0.000
```

Results
The offset from the most stable computed form is 0.052 eV/atom. Its total magnetic moment is 4.33 μB/f.u. As for the energy of formation: 0.13 eV per atom. As for the density of states at the Fermi level: 3.88 states/eV per cell.

# 9
The following is a DFT calculation (GGA-PBE) of a relaxed structure of FeCoCu.

```
FeCoCu
1.0
4.384 -0.010 0.003
2.127 3.833 -0.003
-2.819 -2.655 2.055
Fe Cu Co
1 1 1
direct
0.666 0.666 0.000
0.335 0.335 0.000
0.999 0.999 0.000
```

Results
The offset from the most stable computed form is 0.019 eV/atom. Its total magnetic moment is 4.11 μB/f.u. As for the energy of formation: 0.10 eV per atom. As for the density of states at the Fermi level: 1.95 states/eV per cell.

# 10
The following is a DFT calculation (GGA-PBE) of a relaxed structure of Fe4CoCu.

```
Fe4CoCu
1.0
-0.218 -3.486 -3.070
-3.572 -0.267 -2.965
0.666 0.842 -4.525
Cu Fe Co
1 4 1
direct
0.000 0.000 0.000
0.876 0.375 0.375
0.375 0.375 0.375
0.375 0.375 0.876
0.375 0.876 0.375
0.750 0.750 0.750
```

Results
Its total magnetic moment is 9.95 μB/f.u. As for the energy of formation: 0.22 eV per atom. As for the density of states at the Fermi level: 1.48 states/eV per cell.

# 11
The following is a DFT calculation (GGA-PBE) of a relaxed structure of FeCoCu2.

```
FeCoCu2
1.0
-1.916 0.546 -3.223
-2.032 0.565 1.304
-0.666 5.346 1.301
Cu Fe Co
2 1 1
direct
0.000 0.498 0.502
0.000 0.002 0.998
0.500 0.250 0.250
0.500 0.750 0.750
```

Results
The offset from the most stable computed form is 0.048 eV/atom. Its total magnetic moment is 4.35 μB/f.u. As for the energy of formation: 0.13 eV per atom. As for the density of states at the Fermi level: 2.98 states/eV per cell.

# 12
The following is a DFT calculation (GGA-PBE) of a relaxed structure of FeCoCu3.

```
FeCoCu3
1.0
4.336 0.000 0.000
0.000 4.336 0.000
0.000 0.000 4.336
Cu Fe Co
3 1 1
direct
0.500 0.000 0.000
0.000 0.000 0.500
0.000 0.500 0.000
0.500 0.500 0.500
0.000 0.000 0.000
```

Results
The offset from the most stable computed form is 0.000 eV/atom. Its total magnetic moment is 4.93 μB/f.u. As for the energy of formation: 1.20 eV per atom. As for the density of states at the Fermi level: 5.02 states/eV per cell.